Entry 1:
# Ca2HOs

A relaxed structure of Ca2HOs (PBEsol, Alexandria via LeMat-Bulk).

Properties
The value obtained for the density of states at the Fermi level is 7.2 states/eV/cell. The total energy comes out at -35.12 eV for the cell shown. Its space group is I-42d.

Cell lengths 5.788, 5.788, 5.788 Å; angles 108.44, 109.99, 109.99 degrees
Sites, in units of the cell vectors:
Ca: 0.922 0.547 0.125
Ca: 0.078 0.203 0.625
Ca: 0.578 0.375 0.453
Ca: 0.422 0.875 0.797
H: 0.000 0.500 0.500
H: 0.500 0.250 0.750
Os: 0.000 0.000 0.000
Os: 0.500 0.750 0.250


Entry 2:
# CaPH2

A relaxed structure of CaPH2 (PBEsol, Alexandria via LeMat-Bulk).

Properties
The value obtained for the density of states at the Fermi level is 1.5 states/eV/cell. The total energy comes out at -14.83 eV for the cell shown. Its space group is Fm-3m.

Cell lengths 3.977, 3.977, 3.977 Å; angles 60.00, 60.00, 60.00 degrees
Sites, in units of the cell vectors:
H: 0.250 0.250 0.250
H: 0.750 0.750 0.750
Ca: 0.500 0.500 0.500
P: 0.000 0.000 0.000


Entry 3:
# CaPH

A relaxed structure of CaPH (PBEsol, Alexandria via LeMat-Bulk).

Properties
The value obtained for the density of states at the Fermi level is 0.0 states/eV/cell. The total energy comes out at -26.90 eV for the cell shown. Its space group is P2_1/m.

Cell lengths 3.972, 4.367, 5.893 Å; angles 90.00, 97.46, 90.00 degrees
Sites, in units of the cell vectors:
Ca: 0.255 0.250 0.251
Ca: 0.745 0.750 0.749
P: 0.237 0.250 0.743
P: 0.763 0.750 0.257
H: 0.443 0.750 0.104
H: 0.557 0.250 0.896


Entry 4:
# Ca2H2Pb

A relaxed structure of Ca2H2Pb (PBEsol, Alexandria via LeMat-Bulk).

Properties
The value obtained for the density of states at the Fermi level is 0.4 states/eV/cell. The total energy comes out at -17.93 eV for the cell shown. Its space group is I4/mmm.

Cell lengths 3.652, 3.652, 7.483 Å; angles 104.12, 104.12, 90.00 degrees
Sites, in units of the cell vectors:
H: 0.750 0.250 0.500
H: 0.250 0.750 0.500
Pb: 0.000 0.000 0.000
Ca: 0.659 0.659 0.318
Ca: 0.341 0.341 0.682


Entry 5:
# CaHPd3

A relaxed structure of CaHPd3 (PBEsol, Alexandria via LeMat-Bulk).

Properties
The value obtained for the density of states at the Fermi level is 2.1 states/eV/cell. The total energy comes out at -25.88 eV for the cell shown. Its space group is Pm-3m. Its relative energy among the computed polymorphs is 11 meV per atom.

Cell lengths 4.084, 4.084, 4.084 Å; angles 90.00, 90.00, 90.00 degrees
Sites, in units of the cell vectors:
H: 0.000 0.000 0.000
Pd: 0.000 0.500 0.000
Pd: 0.000 0.000 0.500
Pd: 0.500 0.000 0.000
Ca: 0.500 0.500 0.500


Entry 6:
# CaHPd2

A relaxed structure of CaHPd2 (PBEsol, Alexandria via LeMat-Bulk).

Properties
The value obtained for the density of states at the Fermi level is 1.5 states/eV/cell. The total energy comes out at -39.08 eV for the cell shown. Its space group is Fd-3m.

Cell lengths 5.611, 5.611, 5.611 Å; angles 60.00, 60.00, 60.00 degrees
Sites, in units of the cell vectors:
Pd: 0.125 0.625 0.625
Pd: 0.625 0.125 0.625
Pd: 0.625 0.625 0.625
Pd: 0.625 0.625 0.125
Ca: 0.000 0.000 0.000
Ca: 0.250 0.250 0.250
H: 0.750 0.750 0.750
H: 0.500 0.500 0.500


Entry 7:
# CaHPd3

A relaxed structure of CaHPd3 (PBEsol, Alexandria via LeMat-Bulk).

Properties
The value obtained for the density of states at the Fermi level is 3.6 states/eV/cell. The total energy comes out at -51.87 eV for the cell shown. Its space group is P6_3/mmc. Its relative energy among the computed polymorphs is 0 meV per atom.

Cell lengths 4.727, 5.853, 5.853 Å; angles 120.00, 90.00, 90.00 degrees
Sites, in units of the cell vectors:
Pd: 0.250 0.156 0.311
Pd: 0.250 0.689 0.844
Pd: 0.750 0.311 0.156
Pd: 0.750 0.844 0.156
Pd: 0.750 0.844 0.689
Pd: 0.250 0.156 0.844
Ca: 0.750 0.333 0.667
Ca: 0.250 0.667 0.333
H: 0.750 0.667 0.333
H: 0.250 0.333 0.667


Entry 8:
# CaH3Pd

A relaxed structure of CaH3Pd (PBEsol, Alexandria via LeMat-Bulk).

Properties
The value obtained for the density of states at the Fermi level is 1.1 states/eV/cell. The total energy comes out at -20.89 eV for the cell shown. Its space group is Pm-3m.

Cell lengths 3.663, 3.663, 3.663 Å; angles 90.00, 90.00, 90.00 degrees
Sites, in units of the cell vectors:
Ca: 0.500 0.500 0.500
Pd: 0.000 0.000 0.000
H: 0.000 0.500 0.000
H: 0.500 0.000 0.000
H: 0.000 0.000 0.500


Calculated total magnetic moment, 0.27; 0.00; 0.00; 0.00; 0.00; 0.00; 0.00; 0.00 μB per atom (same order as the records).